Compound: PmPr2Hg2
Source: the Alexandria database
Functional: PBE-GGA
Structure: optimized geometry

Computed properties:
Energy above the most stable polymorph in this dataset in eV per atom: 0.049

Cell and atoms, written as POSCAR:
```
PmPr2Hg2
1.0
4.9271 0.0000 0.0000
0.0000 7.2435 0.0000
0.0000 0.0000 8.5360
Pm Pr Hg
2 4 4
Cartesian
0.0000 0.0000 0.0000
2.4635 3.6217 4.2680
0.0000 3.6217 1.6427
0.0000 3.6217 6.8933
2.4635 0.0000 2.6253
2.4635 0.0000 5.9107
0.0000 1.5604 4.2680
0.0000 5.6831 4.2680
2.4635 2.0613 0.0000
2.4635 5.1821 0.0000
```

=====

Compound: PmPrHg2
Source: the Alexandria database
Functional: PBE-GGA
Structure: optimized geometry

Computed properties:
Energy above the most stable polymorph in this dataset in eV per atom: 0.147

Cell and atoms, written as POSCAR:
```
PmPrHg2
1.0
3.9015 0.0000 0.0000
-1.9508 3.3788 0.0000
0.0000 0.0000 27.9666
Pm Pr Hg
3 3 6
Cartesian
0.0000 0.0000 0.0000
0.0000 2.2526 18.6444
1.9508 1.1263 9.3222
0.0000 0.0000 23.3154
0.0000 2.2526 13.9932
1.9508 1.1263 4.6710
0.0000 0.0000 11.6189
0.0000 0.0000 16.3604
0.0000 2.2526 2.2967
0.0000 2.2526 7.0382
1.9508 1.1263 20.9411
1.9508 1.1263 25.6826
```

=====

Compound: PmPr3Hg2
Source: the Alexandria database
Functional: PBE-GGA
Structure: optimized geometry

Computed properties:
Energy above the most stable polymorph in this dataset in eV per atom: 0.246

Cell and atoms, written as POSCAR:
```
PmPr3Hg2
1.0
-3.7404 7.5125 3.8210
3.7404 -7.5125 3.8210
3.7404 7.5125 -3.8210
Pm Pr Hg
2 6 4
Cartesian
0.0000 0.0000 0.0000
0.0000 0.0000 3.8210
3.7404 4.0868 -1.9105
3.7404 0.0000 1.9105
0.0000 3.4257 1.9105
3.7404 4.0868 1.9105
0.0000 7.5125 1.9105
0.0000 3.4257 5.7315
5.2518 2.0781 0.0000
1.5114 5.4344 0.0000
2.2290 2.0781 3.8210
-1.5114 5.4344 3.8210
```

=====

Compound: PmPr5Hg6
Source: the Alexandria database
Functional: PBE-GGA
Structure: optimized geometry

Cell and atoms, written as POSCAR:
```
PmPr5Hg6
1.0
2.7215 -8.1736 0.0000
2.7215 8.1736 0.0000
0.0000 0.0000 7.7356
Pm Pr Hg
1 5 6
Cartesian
0.0000 0.0000 0.0000
0.0000 0.0000 3.8678
2.7215 2.7241 0.0000
2.7215 2.7344 3.8678
2.7215 -2.7241 0.0000
2.7215 -2.7344 3.8678
2.7215 5.4735 1.9195
2.7215 5.4735 5.8161
2.7215 0.0000 1.9064
2.7215 0.0000 5.8292
2.7215 -5.4735 1.9195
2.7215 -5.4735 5.8161
```

=====

Compound: Pm4Pr3Hg2
Source: the Alexandria database
Functional: PBE-GGA
Structure: optimized geometry

Cell and atoms, written as POSCAR:
```
Pm4Pr3Hg2
1.0
7.7273 -2.5369 0.0000
7.7273 2.5369 0.0000
-2.5671 0.0000 7.3051
Pm Pr Hg
4 3 2
Cartesian
0.0361 0.0000 2.4654
2.4803 0.0000 5.1621
10.4072 0.0000 2.1431
12.8514 0.0000 4.8397
5.1006 0.0000 2.3573
7.7273 0.0000 0.0000
7.7869 0.0000 4.9478
-0.1788 0.0000 7.2835
13.0663 0.0000 0.0216
```

=====

Compound: Pm2Pr3Hg6
Source: the Alexandria database
Functional: PBE-GGA
Structure: optimized geometry

Cell and atoms, written as POSCAR:
```
Pm2Pr3Hg6
1.0
-2.5968 2.5968 13.8634
2.5968 -2.5968 13.8634
2.5968 2.5968 -13.8634
Pm Pr Hg
2 3 6
Cartesian
0.0000 0.0000 3.5675
0.0000 0.0000 24.1594
0.0000 0.0000 9.9504
0.0000 0.0000 13.8634
0.0000 0.0000 17.7764
2.5968 0.0000 1.8613
0.0000 0.0000 6.7323
2.5968 0.0000 12.0021
0.0000 2.5968 1.8613
0.0000 0.0000 20.9945
0.0000 2.5968 12.0021
```

=====

Compound: PmPrHg3
Source: the Alexandria database
Functional: PBE-GGA
Structure: optimized geometry

Computed properties:
Energy above the most stable polymorph in this dataset in eV per atom: 0.000

Cell and atoms, written as POSCAR:
```
PmPrHg3
1.0
8.2705 -4.1244 0.0000
8.2705 4.1244 0.0000
0.0000 0.0000 8.2431
Pm Pr Hg
4 4 12
Cartesian
3.6700 1.6723 2.0608
3.6700 -1.6723 6.1823
12.8709 1.6723 2.0608
12.8709 -1.6723 6.1823
8.2705 3.3257 6.1823
8.2705 0.5222 2.0608
8.2705 -0.5222 6.1823
8.2705 -3.3257 2.0608
6.4684 2.7322 0.5679
6.4684 2.7322 3.5536
10.0725 2.7322 0.5679
10.0725 2.7322 3.5536
5.4470 0.0000 0.0000
5.4470 0.0000 4.1215
11.0939 0.0000 0.0000
11.0939 0.0000 4.1215
6.4684 -2.7322 4.6894
6.4684 -2.7322 7.6752
10.0725 -2.7322 4.6894
10.0725 -2.7322 7.6752
```

=====

Compound: PmPrHg3
Source: the Alexandria database
Functional: PBE-GGA
Structure: optimized geometry

Computed properties:
Energy above the most stable polymorph in this dataset in eV per atom: 0.139

Cell and atoms, written as POSCAR:
```
PmPrHg3
1.0
3.6025 -6.2323 0.0000
3.6025 6.2323 0.0000
0.0000 0.0000 6.8285
Pm Pr Hg
2 2 6
Cartesian
0.0000 0.0000 0.0000
0.0000 0.0000 3.4142
3.6025 2.0756 5.1214
3.6025 -2.0756 1.7071
2.1692 1.2480 1.7071
3.6025 3.7299 1.7071
2.1692 -1.2480 5.1214
5.0357 1.2480 1.7071
3.6025 -3.7299 5.1214
5.0357 -1.2480 5.1214
```

=====

Compound: PmPr3Hg
Source: the Alexandria database
Functional: PBE-GGA
Structure: optimized geometry

Cell and atoms, written as POSCAR:
```
PmPr3Hg
1.0
9.9891 -1.9029 0.0000
9.9891 1.9029 0.0000
-2.0126 0.0000 8.6432
Pm Pr Hg
2 6 2
Cartesian
3.3947 0.0000 2.8586
14.5709 0.0000 5.7846
-1.5172 0.0000 6.8257
1.9602 0.0000 7.5854
7.1556 0.0000 4.0151
10.8100 0.0000 4.6281
16.0053 0.0000 1.0578
19.4828 0.0000 1.8175
6.0313 0.0000 7.9486
11.9343 0.0000 0.6946
```

=====

Compound: PmPr6Hg
Source: the Alexandria database
Functional: PBE-GGA
Structure: optimized geometry

Computed properties:
Energy above the most stable polymorph in this dataset in eV per atom: 0.000

Cell and atoms, written as POSCAR:
```
PmPr6Hg
1.0
5.0642 0.0000 0.0000
0.0000 5.0642 0.0000
0.0000 0.0000 10.4177
Pm Pr Hg
1 6 1
Cartesian
0.0000 0.0000 0.0000
0.0000 2.5321 2.6861
0.0000 2.5321 7.7316
2.5321 0.0000 2.6861
2.5321 0.0000 7.7316
2.5321 2.5321 0.0000
2.5321 2.5321 5.2088
0.0000 0.0000 5.2088
```

=====

Compound: PmPrHg
Source: the Alexandria database
Functional: PBE-GGA
Structure: optimized geometry

Computed properties:
Energy above the most stable polymorph in this dataset in eV per atom: 0.000

Cell and atoms, written as POSCAR:
```
PmPrHg
1.0
7.3327 0.0000 0.0000
0.0000 5.2514 0.0000
0.0000 0.0000 9.6172
Pm Pr Hg
4 4 4
Cartesian
1.2298 1.3129 0.7319
2.4365 3.9386 5.5405
4.8962 1.3129 4.0767
6.1028 3.9386 8.8852
0.1053 1.3129 6.6546
3.5610 3.9386 1.8460
3.7717 1.3129 7.7712
7.2274 3.9386 2.9626
1.7630 1.3129 3.8227
1.9034 3.9386 8.6313
5.4293 1.3129 0.9859
5.5697 3.9386 5.7945
```

=====

Compound: Pm2Pr2Hg
Source: the Alexandria database
Functional: PBE-GGA
Structure: optimized geometry

Computed properties:
Energy above the most stable polymorph in this dataset in eV per atom: 0.000

Cell and atoms, written as POSCAR:
```
Pm2Pr2Hg
1.0
3.7383 0.0000 0.0000
0.0000 3.7383 0.0000
0.0000 0.0000 23.2742
Pm Pr Hg
4 4 2
Cartesian
0.0000 0.0000 1.9740
0.0000 0.0000 21.3002
1.8691 1.8691 9.6631
1.8691 1.8691 13.6112
0.0000 0.0000 7.1169
0.0000 0.0000 16.1573
1.8691 1.8691 4.5202
1.8691 1.8691 18.7540
0.0000 0.0000 11.6371
1.8691 1.8691 0.0000
```

=====

Compound: Pm4Pr2Hg
Source: the Alexandria database
Functional: PBE-GGA
Structure: optimized geometry

Cell and atoms, written as POSCAR:
```
Pm4Pr2Hg
1.0
17.2072 0.0000 0.0000
0.0000 3.7099 0.0000
-3.7194 0.0000 7.4604
Pm Pr Hg
8 4 2
Cartesian
0.0730 0.0000 1.8164
-1.1165 1.8549 7.2586
6.0008 0.0000 0.2018
4.8113 1.8549 5.6440
8.6766 1.8549 1.8164
7.4871 0.0000 7.2586
14.6044 1.8549 0.2018
13.4149 0.0000 5.6440
1.3072 1.8549 4.6874
3.5771 0.0000 2.7730
9.9108 0.0000 4.6874
12.1807 1.8549 2.7730
-1.8597 1.8549 3.7302
6.7439 0.0000 3.7302
```

=====

Compound: PmPr6Hg2
Source: the Alexandria database
Functional: PBE-GGA
Structure: optimized geometry

Computed properties:
Energy above the most stable polymorph in this dataset in eV per atom: 0.000

Cell and atoms, written as POSCAR:
```
PmPr6Hg2
1.0
6.5517 -1.9212 0.0000
6.5517 1.9212 0.0000
-3.9644 0.0000 11.7567
Pm Pr Hg
1 6 2
Cartesian
0.0000 0.0000 0.0000
-1.0371 0.0000 3.9604
2.4439 0.0000 4.8211
3.6288 0.0000 1.4634
5.5101 0.0000 10.2932
6.6950 0.0000 6.9356
10.1760 0.0000 7.7962
1.5216 0.0000 9.4319
7.6173 0.0000 2.3248
```

=====

Compound: Pm4PrHg
Source: the Alexandria database
Functional: PBE-GGA
Structure: optimized geometry

Computed properties:
Energy above the most stable polymorph in this dataset in eV per atom: 0.000

Cell and atoms, written as POSCAR:
```
Pm4PrHg
1.0
3.6948 0.0000 0.0000
0.0000 3.6948 0.0000
0.0000 0.0000 14.2911
Pm Pr Hg
4 1 1
Cartesian
0.0000 0.0000 2.0190
0.0000 0.0000 12.2722
1.8474 1.8474 4.5552
1.8474 1.8474 9.7359
0.0000 0.0000 7.1456
1.8474 1.8474 0.0000
```

=====

Compound: Pm2PrHg5
Source: the Alexandria database
Functional: PBE-GGA
Structure: optimized geometry

Cell and atoms, written as POSCAR:
```
Pm2PrHg5
1.0
5.3221 0.0000 0.0000
0.0000 5.3221 0.0000
0.0000 0.0000 15.0455
Pm Pr Hg
4 2 10
Cartesian
0.0000 0.0000 3.4815
0.0000 0.0000 11.5640
2.6611 2.6611 4.0412
2.6611 2.6611 11.0043
0.0000 0.0000 7.5228
2.6611 2.6611 0.0000
0.0000 0.0000 0.0000
0.0000 2.6611 1.8655
0.0000 2.6611 5.6573
0.0000 2.6611 9.3882
0.0000 2.6611 13.1800
2.6611 0.0000 1.8655
2.6611 0.0000 5.6573
2.6611 0.0000 9.3882
2.6611 0.0000 13.1800
2.6611 2.6611 7.5228
```

=====

Compound: Pm3Pr4Hg
Source: the Alexandria database
Functional: PBE-GGA
Structure: optimized geometry

Cell and atoms, written as POSCAR:
```
Pm3Pr4Hg
1.0
3.7259 0.0000 0.0000
0.0000 3.7259 0.0000
0.0000 0.0000 19.5333
Pm Pr Hg
3 4 1
Cartesian
0.0000 0.0000 0.0000
0.0000 0.0000 5.1421
0.0000 0.0000 14.3912
1.8629 1.8629 2.5669
1.8629 1.8629 7.7164
1.8629 1.8629 11.8169
1.8629 1.8629 16.9664
0.0000 0.0000 9.7666
```

=====

Compound: PmPr2Hg
Source: the Alexandria database
Functional: PBE-GGA
Structure: optimized geometry

Computed properties:
Energy above the most stable polymorph in this dataset in eV per atom: 0.158

Cell and atoms, written as POSCAR:
```
PmPr2Hg
1.0
7.9076 0.0000 0.0000
0.0000 7.9076 0.0000
0.0000 0.0000 7.9076
Pm Pr Hg
4 8 4
Cartesian
0.0000 0.0000 0.0000
0.0000 3.9538 3.9538
3.9538 0.0000 3.9538
3.9538 3.9538 0.0000
1.9769 1.9769 1.9769
1.9769 1.9769 5.9307
1.9769 5.9307 1.9769
1.9769 5.9307 5.9307
5.9307 1.9769 1.9769
5.9307 1.9769 5.9307
5.9307 5.9307 1.9769
5.9307 5.9307 5.9307
0.0000 0.0000 3.9538
0.0000 3.9538 0.0000
3.9538 0.0000 0.0000
3.9538 3.9538 3.9538
```

=====

Compound: Pm5Pr4Hg4
Source: the Alexandria database
Functional: PBE-GGA
Structure: optimized geometry

Cell and atoms, written as POSCAR:
```
Pm5Pr4Hg4
1.0
-6.1626 6.1626 2.6760
6.1626 -6.1626 2.6760
6.1626 6.1626 -2.6760
Pm Pr Hg
5 4 4
Cartesian
0.0000 0.0000 0.0000
7.5893 3.9095 0.0000
3.9095 4.7359 0.0000
2.2531 1.4267 2.6760
-1.4267 2.2531 2.6760
4.7614 1.2063 0.0000
4.9563 -1.4012 2.6760
1.2063 7.5638 0.0000
1.4012 4.9563 2.6760
9.4529 1.2785 0.0000
1.2785 2.8723 0.0000
4.8841 3.2903 2.6760
-3.2903 4.8841 2.6760
```

=====

Compound: PmPr12Hg6
Source: the Alexandria database
Functional: PBE-GGA
Structure: optimized geometry

Cell and atoms, written as POSCAR:
```
PmPr12Hg6
1.0
5.8318 3.3670 4.9973
-5.8318 3.3670 4.9973
0.0000 -6.7340 4.9973
Pm Pr Hg
1 12 6
Cartesian
0.0000 0.0000 0.0000
-1.7980 0.7681 3.0443
0.2338 -1.9412 3.0443
-2.2788 -0.5674 6.1727
1.5642 1.1731 3.0443
-0.6480 -2.2572 8.8194
1.6308 -1.6898 6.1727
-1.6308 1.6898 8.8194
0.6480 2.2572 6.1727
-1.5642 -1.1731 11.9478
2.2788 0.5674 8.8194
-0.2338 1.9412 11.9478
1.7980 -0.7681 11.9478
-0.8775 -3.7041 5.7293
-3.6466 -1.0921 9.2628
-2.7691 2.6120 5.7293
2.7691 -2.6120 9.2628
3.6466 1.0921 5.7293
0.8775 3.7041 9.2628
```

=====

Compound: PmPr2Hg4
Source: the Alexandria database
Functional: PBE-GGA
Structure: optimized geometry

Computed properties:
Energy above the most stable polymorph in this dataset in eV per atom: 0.000

Cell and atoms, written as POSCAR:
```
PmPr2Hg4
1.0
2.6223 1.5140 9.0331
-2.6223 1.5140 9.0331
0.0000 -3.0280 9.0331
Pm Pr Hg
1 2 4
Cartesian
0.0000 0.0000 0.0000
0.0000 0.0000 6.5967
0.0000 0.0000 20.5028
0.0000 0.0000 3.4199
0.0000 0.0000 10.1104
0.0000 0.0000 16.9890
0.0000 0.0000 23.6796
```

=====

Compound: Pm2PrHg
Source: the Alexandria database
Functional: PBE-GGA
Structure: optimized geometry

Computed properties:
Energy above the most stable polymorph in this dataset in eV per atom: 0.063

Cell and atoms, written as POSCAR:
```
Pm2PrHg
1.0
4.9440 0.0000 0.0000
0.0000 4.9440 0.0000
0.0000 0.0000 4.9380
Pm Pr Hg
2 1 1
Cartesian
0.0000 2.4720 0.0000
2.4720 0.0000 0.0000
0.0000 0.0000 2.4690
2.4720 2.4720 2.4690
```

=====

Compound: PmPrHg
Source: the Alexandria database
Functional: PBE-GGA
Structure: optimized geometry

Computed properties:
Energy above the most stable polymorph in this dataset in eV per atom: 0.145

Cell and atoms, written as POSCAR:
```
PmPrHg
1.0
5.2388 0.0000 0.0000
-2.6194 4.5370 0.0000
0.0000 0.0000 3.8523
Pm Pr Hg
1 1 1
Cartesian
0.0000 0.0000 0.0000
2.6194 1.5123 2.1926
0.0000 3.0246 0.9605
```

=====

Short version: mass density = 9.03; 9.28; 7.49; 9.91; 8.14; 8.51; 10.48; 9.61; 7.77; 7.40; 8.73; 7.89; 7.41; 7.81; 7.84; 11.17; 7.34; 8.43; 8.54; 8.57; 9.49; 8.69; 8.82 g/cm³, in the order given.
Short version: formation energy = -0.3232; -0.3276; -0.0792; -0.4734; -0.1276; -0.1179; -0.3605; -0.2216; -0.1772; -0.0683; -0.3281; -0.1833; -0.0380; -0.2111; -0.1485; -0.4456; -0.1047; -0.0674; -0.3015; -0.2018; -0.3401; -0.1714; -0.1831 eV per atom, in the order given.
Short version: DOS at the Fermi energy = 10.46; 11.25; 19.52; 12.86; 11.82; 11.44; 16.70; 12.36; 12.34; 8.93; 8.12; 14.06; 18.36; 9.69; 8.07; 10.06; 11.21; 23.12; 12.63; 21.49; 6.52; 5.81; 3.75 states/eV per cell, in the order given.